# 1
Entry from Alexandria: a relaxed RbHgBi2P crystal (GGA-PBE).

Output
- Crystal system: tetragonal
- Formation energy from the elements: 7.49 eV/f.u.

a = 6.2682 Å, b = 5.9113 Å, c = 6.2682 Å
α = 90.00°, β = 90.00°, γ = 90.00°
With the nearest neighbours (Å) after each atom.
Fractional positions:
1 P 0.5000 0.5000 0.5000  8 Bi 4.31, 4 Hg 4.43
2 Bi 0.0000 0.0000 0.5000  2 Rb 3.13
3 Bi 0.5000 0.0000 0.0000  2 Rb 3.13
4 Rb 0.0000 0.0000 0.0000  2 Hg 2.96, 4 Bi 3.13
5 Hg 0.0000 0.5000 0.0000  2 Rb 2.96

***

# 2
Entry from Alexandria: a relaxed HoErNp2P4 crystal (GGA-PBE).

Output
- Crystal system: monoclinic
- Formation energy from the elements: -9.90 eV/f.u.

a = 3.9630 Å, b = 6.8649 Å, c = 6.8609 Å
α = 109.48°, β = 90.00°, γ = 90.00°
With the nearest neighbours (Å) after each atom.
Fractional positions:
1 Ho 0.0000 0.0000 0.0000  6 P 2.82
2 Er 0.5000 0.5000 0.0000  6 P 2.82
3 Np 0.5000 0.0000 0.5000  6 P 2.79
4 Np 0.0000 0.5000 0.5000  6 P 2.78
5 P 0.5000 0.2521 0.2546  3 Np 2.78-2.79, 1 Er 2.82, 2 Ho 2.82
6 P 0.5000 0.7479 0.7454  3 Np 2.78-2.79, 1 Er 2.82, 2 Ho 2.82
7 P 0.0000 0.2492 0.7458  3 Np 2.78-2.79, 2 Er 2.82, 1 Ho 2.82
8 P 0.0000 0.7508 0.2542  3 Np 2.78-2.79, 2 Er 2.82, 1 Ho 2.82

***

# 3
Entry from Alexandria: a relaxed Te2IrOF crystal (GGA-PBE).

Output
- Crystal system: tetragonal
- ΔE_f (raw): -189.4 meV/atom

a = 5.4500 Å, b = 5.4500 Å, c = 3.6463 Å
α = 90.00°, β = 90.00°, γ = 90.00°
With the nearest neighbours (Å) after each atom.
Fractional positions:
1 Ir 0.0000 0.0000 0.0000  2 O 1.82
2 Te 0.0000 0.5000 0.0000  2 Ir 2.72
3 Te 0.5000 0.0000 0.0000  2 Ir 2.72
4 O 0.0000 0.0000 0.5000  2 Ir 1.82
5 F 0.5000 0.5000 0.5000  8 Te 3.28, 2 F 3.65

***

# 4
Entry from Alexandria: a relaxed CeYTmSc crystal (GGA-PBE).

Output
- Crystal system: cubic
- Formation energy from the elements: 0.51 eV/f.u.

a = 5.5104 Å, b = 5.5104 Å, c = 5.5104 Å
α = 60.00°, β = 60.00°, γ = 60.00°
With the nearest neighbours (Å) after each atom.
Fractional positions:
1 Y 0.5000 0.5000 0.5000  4 Tm 3.37, 4 Sc 3.37
2 Sc 0.2500 0.2500 0.2500  4 Ce 3.37, 4 Y 3.37
3 Tm 0.7500 0.7500 0.7500  4 Ce 3.37, 4 Y 3.37
4 Ce 0.0000 0.0000 0.0000  4 Sc 3.37, 4 Tm 3.37

***

# 5
Entry from Alexandria: a relaxed Sc2ReHgW crystal (GGA-PBE).

Output
- Crystal system: tetragonal
- Formation energy from the elements: 9.89 eV/f.u.

a = 4.9491 Å, b = 4.9781 Å, c = 4.9491 Å
α = 90.00°, β = 90.00°, γ = 90.00°
With the nearest neighbours (Å) after each atom.
Fractional positions:
1 Sc 0.0000 0.0000 0.5000  2 Hg 2.47
2 Sc 0.5000 0.0000 0.0000  2 Hg 2.47
3 Re 0.5000 0.5000 0.5000  4 W 3.50, 8 Sc 3.51
4 Hg 0.0000 0.0000 0.0000  4 Sc 2.47, 2 W 2.49
5 W 0.0000 0.5000 0.0000  2 Hg 2.49

***

# 6
Entry from Alexandria: a relaxed K3CrAu crystal (GGA-PBE).

Output
- Crystal system: cubic
- Formation energy from the elements: 2.36 eV/f.u.
- Energy relative to the lowest polymorph listed for this composition: 0 meV per atom

a = 6.3180 Å, b = 6.3180 Å, c = 6.3180 Å
α = 90.00°, β = 90.00°, γ = 90.00°
With the nearest neighbours (Å) after each atom.
Fractional positions:
1 Cr 0.5000 0.5000 0.5000  12 K 4.47
2 K 0.0000 0.5000 0.0000  2 Au 3.16
3 K 0.0000 0.0000 0.5000  2 Au 3.16
4 K 0.5000 0.0000 0.0000  2 Au 3.16
5 Au 0.0000 0.0000 0.0000  6 K 3.16

***

no.,spin magnetization (μB/atom)
1,0.00
2,0.91
3,0.00
4,0.14
5,0.02
6,1.18